The following is a PBE calculation of a relaxed MnReTe crystal, from the Alexandria database.

Properties
DFT total energy = -7.802 eV/atom
V = 19.0 Å³ per atom
Crystal system = cubic
Raw formation energy = 0.4516 eV/atom
ρ = 10.7 Mg/m³

a b c (Å): 6.1109 6.1109 6.1109
angles (deg): 90.00 90.00 90.00
With the nearest neighbours (Å) after each atom.
Space group F-43m (No. 216)
Asymmetric unit:
Mn  0.0000  0.0000  0.0000 (multiplicity 4)  4 Re 2.65
Re  0.2500  0.2500  0.2500 (multiplicity 4)  4 Mn 2.65, 4 Te 2.65
Te  0.0000  0.0000  0.5000 (multiplicity 4)  4 Re 2.65

---

The following is a PBE calculation of a relaxed MnRe2Te crystal, from the Alexandria database.

Properties
DFT total energy = -8.859 eV/atom
V = 16.4 Å³ per atom
Crystal system = tetragonal
Raw formation energy = 0.4432 eV/atom
ρ = 14.0 Mg/m³

a b c (Å): 3.0725 3.0725 6.9571
angles (deg): 90.00 90.00 90.00
With the nearest neighbours (Å) after each atom.
Space group P4mm (No. 99)
Asymmetric unit:
Mn  0.0000  0.0000  0.0000 (multiplicity 1)  4 Re 2.72, 4 Te 2.79
Re  0.0000  0.0000  0.4516 (multiplicity 1)  4 Re 2.64
Re  0.5000  0.5000  0.2354 (multiplicity 1)  4 Re 2.64, 4 Mn 2.72
Te  0.5000  0.5000  0.7488 (multiplicity 1)  4 Mn 2.79, 4 Re 3.00, 4 Te 3.07

---

The following is a PBE calculation of a relaxed MnRe2Te crystal, from the Alexandria database.

Properties
DFT total energy = -8.774 eV/atom
V = 15.8 Å³ per atom
Crystal system = tetragonal
Raw formation energy = 0.5281 eV/atom
ρ = 14.6 Mg/m³

a b c (Å): 3.1496 3.1496 6.3793
angles (deg): 90.00 90.00 90.00
With the nearest neighbours (Å) after each atom.
Space group P4/mmm (No. 123)
Asymmetric unit:
Mn  0.0000  0.0000  0.0000 (multiplicity 1)  8 Re 2.65
Re  0.5000  0.5000  0.2265 (multiplicity 2)  4 Mn 2.65, 4 Te 2.83, 1 Re 2.89
Te  0.0000  0.0000  0.5000 (multiplicity 1)  8 Re 2.83, 4 Te 3.15

---

The following is a PBE calculation of a relaxed MnRe2Te crystal, from the Alexandria database.

Properties
DFT total energy = -8.757 eV/atom
V = 15.7 Å³ per atom
Crystal system = tetragonal
Raw formation energy = 0.5447 eV/atom
ρ = 14.7 Mg/m³

a b c (Å): 4.4412 4.4412 3.1794
angles (deg): 90.00 90.00 90.00
With the nearest neighbours (Å) after each atom.
Space group P4/mmm (No. 123)
Asymmetric unit:
Mn  0.0000  0.0000  0.0000 (multiplicity 1)  8 Re 2.73
Re  0.0000  0.5000  0.5000 (multiplicity 2)  4 Mn 2.73, 4 Te 2.73
Te  0.5000  0.5000  0.0000 (multiplicity 1)  8 Re 2.73

---

The following is a PBE calculation of a relaxed MnRe2Te crystal, from the Alexandria database.

Properties
DFT total energy = -8.729 eV/atom
V = 16.4 Å³ per atom
Crystal system = monoclinic
Raw formation energy = 0.5731 eV/atom
ρ = 14.1 Mg/m³

a b c (Å): 9.0874 3.0712 4.7572
angles (deg): 90.00 99.70 90.00
With the nearest neighbours (Å) after each atom.
Space group Cm (No. 8)
Asymmetric unit:
Mn  0.0000  0.0000  0.0000 (multiplicity 2)  5 Re 2.59-2.75, 1 Te 2.68
Re  0.0202  0.5000  0.5698 (multiplicity 2)  2 Mn 2.59, 3 Re 2.69-2.72, 1 Te 2.84
Re  0.2577  0.0000  0.7745 (multiplicity 2)  3 Re 2.69-2.72, 3 Mn 2.74-2.75, 4 Te 2.76-2.90
Te  0.2596  0.5000  0.2569 (multiplicity 2)  3 Mn 2.68-2.91, 5 Re 2.76-2.90

---

The following is a PBE calculation of a relaxed Mn2ReTe crystal, from the Alexandria database.

Properties
DFT total energy = -7.945 eV/atom
V = 15.7 Å³ per atom
Crystal system = monoclinic
Raw formation energy = 0.5373 eV/atom
ρ = 11.2 Mg/m³

a b c (Å): 8.6224 3.1163 4.7468
angles (deg): 90.00 100.77 90.00
With the nearest neighbours (Å) after each atom.
Space group C2/m (No. 12)
Asymmetric unit:
Mn  0.2435  0.0000  0.2193 (multiplicity 4)  3 Re 2.61-2.67, 2 Mn 2.62, 3 Te 2.69-2.83
Re  0.0000  0.5000  0.0000 (multiplicity 2)  6 Mn 2.61-2.67, 4 Te 2.84
Te  0.0000  0.0000  0.5000 (multiplicity 2)  6 Mn 2.69-2.83, 4 Re 2.84

---

The following is a PBE calculation of a relaxed Mn2ReTe crystal, from the Alexandria database.

Properties
DFT total energy = -7.828 eV/atom
V = 16.4 Å³ per atom
Crystal system = trigonal
Raw formation energy = 0.6547 eV/atom
ρ = 10.7 Mg/m³

a b c (Å): 2.9679 2.9679 25.7894
angles (deg): 90.00 90.00 120.00
With the nearest neighbours (Å) after each atom.
Space group R3m (No. 160, hexagonal axes)
Asymmetric unit:
Mn  0.0000  0.0000  0.0000 (multiplicity 3)  3 Re 2.49, 3 Mn 2.64
Mn  0.0000  0.0000  0.2557 (multiplicity 3)  3 Mn 2.64, 3 Te 2.86
Re  0.0000  0.0000  0.7367 (multiplicity 3)  3 Mn 2.49
Te  0.0000  0.0000  0.5001 (multiplicity 3)  3 Mn 2.86, 6 Te 2.97, 3 Re 3.03

---

The following is a PBE calculation of a relaxed MnRe2Te crystal, from the Alexandria database.

Properties
DFT total energy = -8.771 eV/atom
V = 16.6 Å³ per atom
Crystal system = orthorhombic
Raw formation energy = 0.5308 eV/atom
ρ = 13.9 Mg/m³

a b c (Å): 3.0609 3.7913 5.7160
angles (deg): 90.00 90.00 90.00
With the nearest neighbours (Å) after each atom.
Space group Pmm2 (No. 25)
Asymmetric unit:
Mn  0.0000  0.0000  0.0000 (multiplicity 1)  5 Re 2.52-2.81, 4 Te 2.81
Re  0.0000  0.0000  0.4415 (multiplicity 1)  1 Mn 2.52, 4 Re 2.69
Re  0.5000  0.5000  0.2438 (multiplicity 1)  4 Re 2.69, 2 Te 2.80-2.92, 4 Mn 2.81
Te  0.5000  0.5000  0.7538 (multiplicity 1)  6 Re 2.80-3.02, 4 Mn 2.81, 2 Te 3.06

---

The following is a PBE calculation of a relaxed MnRe2Te crystal, from the Alexandria database.

Properties
DFT total energy = -8.615 eV/atom
V = 16.1 Å³ per atom
Crystal system = orthorhombic
Raw formation energy = 0.6867 eV/atom
ρ = 14.3 Mg/m³

a b c (Å): 3.1437 4.3806 4.6793
angles (deg): 90.00 90.00 90.00
With the nearest neighbours (Å) after each atom.
Space group Pmmm (No. 47)
Asymmetric unit:
Mn  0.0000  0.0000  0.0000 (multiplicity 1)  4 Te 2.70, 4 Re 2.82
Re  0.0000  0.5000  0.5000 (multiplicity 1)  4 Re 2.70, 4 Te 2.82
Re  0.5000  0.0000  0.5000 (multiplicity 1)  4 Re 2.70, 4 Mn 2.82
Te  0.5000  0.5000  0.0000 (multiplicity 1)  4 Mn 2.70, 4 Re 2.82

---

The following is a PBE calculation of a relaxed MnRe2Te crystal, from the Alexandria database.

Properties
DFT total energy = -8.628 eV/atom
V = 16.1 Å³ per atom
Crystal system = trigonal
Raw formation energy = 0.6741 eV/atom
ρ = 14.3 Mg/m³

a b c (Å): 2.9676 2.9676 25.3883
angles (deg): 90.00 90.00 120.00
With the nearest neighbours (Å) after each atom.
Space group R-3m (No. 166, hexagonal axes)
Asymmetric unit:
Mn  0.0000  0.0000  0.0000 (multiplicity 3)  6 Re 2.60
Re  0.0000  0.0000  0.2564 (multiplicity 6)  3 Mn 2.60, 3 Te 2.85
Te  0.0000  0.0000  0.5000 (multiplicity 3)  6 Re 2.85, 6 Te 2.97

---

The following is a PBE calculation of a relaxed MnRe2Te crystal, from the Alexandria database.

Properties
DFT total energy = -8.525 eV/atom
V = 15.7 Å³ per atom
Crystal system = cubic
Raw formation energy = 0.7773 eV/atom
ρ = 14.7 Mg/m³

a b c (Å): 6.3038 6.3038 6.3038
angles (deg): 90.00 90.00 90.00
With the nearest neighbours (Å) after each atom.
Space group F-43m (No. 216)
Asymmetric unit:
Mn  0.0000  0.0000  0.0000 (multiplicity 4)  4 Te 2.73, 4 Re 2.73
Re  0.0000  0.0000  0.5000 (multiplicity 4)  4 Re 2.73, 4 Te 2.73
Re  0.2500  0.2500  0.7500 (multiplicity 4)  4 Mn 2.73, 4 Re 2.73
Te  0.2500  0.2500  0.2500 (multiplicity 4)  4 Mn 2.73, 4 Re 2.73

---

The following is a PBE calculation of a relaxed MnRe2Te crystal, from the Alexandria database.

Properties
DFT total energy = -8.794 eV/atom
V = 17.6 Å³ per atom
Crystal system = monoclinic
Raw formation energy = 0.5075 eV/atom
ρ = 13.1 Mg/m³

a b c (Å): 2.9742 3.7493 6.4769
angles (deg): 90.00 102.43 90.00
With the nearest neighbours (Å) after each atom.
Space group Pm (No. 6)
Asymmetric unit:
Mn  0.0000  0.0000  0.0000 (multiplicity 1)  3 Re 2.51-2.72
Re  0.2272  0.0000  0.3957 (multiplicity 1)  1 Mn 2.51, 4 Re 2.53-2.77
Re  0.5735  0.5000  0.2176 (multiplicity 1)  4 Re 2.53-2.77, 4 Mn 2.72-2.81
Te  0.3881  0.5000  0.7644 (multiplicity 1)  4 Mn 2.82, 3 Re 2.87-2.99, 2 Te 2.97

---

The following is a PBE calculation of a relaxed Mn2ReTe crystal, from the Alexandria database.

Properties
DFT total energy = -8.054 eV/atom
V = 15.6 Å³ per atom
Crystal system = monoclinic
Raw formation energy = 0.4279 eV/atom
ρ = 11.3 Mg/m³

a b c (Å): 8.6102 3.1288 4.7175
angles (deg): 90.00 100.93 90.00
With the nearest neighbours (Å) after each atom.
Space group Cm (No. 8)
Asymmetric unit:
Mn  0.0000  0.0000  0.0000 (multiplicity 2)  3 Mn 2.59-2.71, 3 Re 2.60-2.62, 2 Te 2.75
Mn  0.2500  0.0000  0.7703 (multiplicity 2)  3 Mn 2.59-2.71, 2 Re 2.59, 3 Te 2.62-2.77
Re  0.2367  0.5000  0.2019 (multiplicity 2)  5 Mn 2.59-2.62, 3 Te 2.78-2.90
Te  0.4957  0.0000  0.5185 (multiplicity 2)  7 Mn 2.62-2.91, 3 Re 2.78-2.90

---

The following is a PBE calculation of a relaxed Mn2ReTe crystal, from the Alexandria database.

Properties
DFT total energy = -7.943 eV/atom
V = 15.4 Å³ per atom
Crystal system = orthorhombic
Raw formation energy = 0.5394 eV/atom
ρ = 11.4 Mg/m³

a b c (Å): 3.2775 4.4429 8.4844
angles (deg): 90.00 90.00 90.00
With the nearest neighbours (Å) after each atom.
Space group Immm (No. 71)
Asymmetric unit:
Mn  0.0000  0.0000  0.2504 (multiplicity 4)  2 Re 2.68, 2 Te 2.68, 4 Mn 2.76
Re  0.0000  0.5000  0.0000 (multiplicity 2)  4 Mn 2.68, 4 Te 2.76
Te  0.0000  0.5000  0.5000 (multiplicity 2)  4 Mn 2.68, 4 Re 2.76

---

The following is a PBE calculation of a relaxed Mn2ReTe crystal, from the Alexandria database.

Properties
DFT total energy = -7.990 eV/atom
V = 15.4 Å³ per atom
Crystal system = tetragonal
Raw formation energy = 0.4921 eV/atom
ρ = 11.4 Mg/m³

a b c (Å): 3.9364 3.9364 7.9493
angles (deg): 90.00 90.00 90.00
With the nearest neighbours (Å) after each atom.
Space group I-4m2 (No. 119)
Asymmetric unit:
Mn  0.0000  0.0000  0.0000 (multiplicity 2)  4 Te 2.78, 4 Mn 2.80, 4 Re 2.80
Mn  0.0000  0.5000  0.2500 (multiplicity 2)  4 Re 2.78, 4 Mn 2.80, 4 Te 2.80
Re  0.0000  0.5000  0.7500 (multiplicity 2)  8 Mn 2.78-2.80, 4 Te 2.80
Te  0.0000  0.0000  0.5000 (multiplicity 2)  8 Mn 2.78-2.80, 4 Re 2.80